No. 1
# PBE-GGA AlIn2Sn, relaxed
data_AlIn2Sn
_cell_length_a 4.331
_cell_length_b 4.331
_cell_length_c 21.887
_cell_angle_alpha 90.00
_cell_angle_beta 90.00
_cell_angle_gamma 90.00
_symmetry_space_group_name_H-M 'I -4 2 d'
_symmetry_Int_Tables_number 122
_symmetry_space_group_name_Hall 'I -4 2bw'
loop_
_atom_site_label
_atom_site_type_symbol
_atom_site_fract_x
_atom_site_fract_y
_atom_site_fract_z
Al1 Al 0.000 0.000 0.000
In1 In 0.242 0.250 0.125
Sn1 Sn 0.000 0.000 0.500
# Energy of formation, eV per atom: 0.15


No. 2
# PBE-GGA EuDyTlPt, relaxed
data_EuDyTlPt
_cell_length_a 7.394
_cell_length_b 7.394
_cell_length_c 7.394
_cell_angle_alpha 90.00
_cell_angle_beta 90.00
_cell_angle_gamma 90.00
_symmetry_space_group_name_H-M 'F -4 3 m'
_symmetry_Int_Tables_number 216
_symmetry_space_group_name_Hall 'F -4 2 3'
loop_
_atom_site_label
_atom_site_type_symbol
_atom_site_fract_x
_atom_site_fract_y
_atom_site_fract_z
Eu1 Eu 0.000 0.000 0.000
Dy1 Dy 0.000 0.000 0.500
Tl1 Tl 0.250 0.250 0.750
Pt1 Pt 0.250 0.250 0.250
# Energy of formation, eV per atom: -0.61


No. 3
# PBE-GGA Tb4DyEr, relaxed
data_Tb4DyEr
_cell_length_a 5.669
_cell_length_b 22.121
_cell_length_c 6.088
_cell_angle_alpha 90.00
_cell_angle_beta 90.00
_cell_angle_gamma 90.00
_symmetry_space_group_name_H-M 'I m m a'
_symmetry_Int_Tables_number 74
_symmetry_space_group_name_Hall '-I 2b 2'
loop_
_atom_site_label
_atom_site_type_symbol
_atom_site_fract_x
_atom_site_fract_y
_atom_site_fract_z
Tb1 Tb 0.000 0.089 0.063
Tb2 Tb 0.000 0.168 0.576
Dy1 Dy 0.000 0.000 0.500
Er1 Er 0.000 0.250 0.078
# Energy of formation, eV per atom: 0.07